# 1
Density functional theory data (PBE) for a geometry-optimized NbTeHPd structure.

The offset from the most stable computed form comes out at 122 meV/atom.

a = 3.3383 Å, b = 3.3383 Å, c = 6.9119 Å
α = 90.00°, β = 90.00°, γ = 120.00°
Space group P3m1 (No. 156)
Unique sites:
Nb1 0.0000 0.0000 0.0000 x1
Te1 0.6667 0.3333 0.7179 x1
H1 0.0000 0.0000 0.3090 x1
Pd1 0.6667 0.3333 0.3073 x1

# 2
Density functional theory data (PBE) for a geometry-optimized TbPm3B4O12 structure.

For the formation energy (no corrections), the calculation gives -60.12 eV per formula unit.

a = 10.2543 Å, b = 10.2543 Å, c = 8.7866 Å
α = 90.00°, β = 90.00°, γ = 120.00°
Space group R32 (No. 155, hexagonal axes)
Unique sites:
Tb1 0.0000 0.0000 0.0000 x3
Pm1 0.0000 0.5231 0.0000 x9
B1 0.0000 0.0000 0.5000 x3
B2 0.0000 0.4757 0.5000 x9
O1 0.0000 0.6094 0.5000 x9
O2 0.0000 0.8660 0.5000 x9
O3 0.0084 0.1946 0.8381 x18

Summary of total magnetization in μB per formula unit
0.0 0.0
(order as listed above)